# HfIn2W PBE optimized geometry
# Energy = -106.120 eV/cell
# ΔH_f (0 K) = 463 meV per atom
data_HfIn2W
_space_group_name_H-M_alt 'F m -3 m'
_space_group_IT_number 225
_space_group_name_Hall '-F 4 2 3'
_cell_length_a 6.8116
_cell_length_b 6.8116
_cell_length_c 6.8116
_cell_angle_alpha 90.00
_cell_angle_beta 90.00
_cell_angle_gamma 90.00
loop_
_atom_site_label
_atom_site_fract_x
_atom_site_fract_y
_atom_site_fract_z
_atom_site_occupancy
Hf1 0.0000 0.0000 0.0000 1
In1 0.2500 0.2500 0.2500 1
W1 0.0000 0.0000 0.5000 1

# MgSi3Ru3 PBE optimized geometry
# Energy = -89.544 eV/cell
# Raw formation energy = 0.9 eV/f.u.
data_MgSi3Ru3
_space_group_name_H-M_alt 'P m -3 n'
_space_group_IT_number 223
_space_group_name_Hall '-P 4n 2 3'
_cell_length_a 6.4769
_cell_length_b 6.4769
_cell_length_c 6.4769
_cell_angle_alpha 90.00
_cell_angle_beta 90.00
_cell_angle_gamma 90.00
loop_
_atom_site_label
_atom_site_fract_x
_atom_site_fract_y
_atom_site_fract_z
_atom_site_occupancy
Mg1 0.0000 0.0000 0.0000 1
Si1 0.0000 0.2500 0.5000 1
Ru1 0.0000 0.5000 0.2500 1

# TlHg3Pd7 PBE optimized geometry
# Energy = -78.918 eV/cell
# ΔH_f (0 K) = 15 meV per atom
data_TlHg3Pd7
_space_group_name_H-M_alt 'C 1 2/m 1'
_space_group_IT_number 12
_space_group_name_Hall '-C 2y'
_cell_length_a 9.2557
_cell_length_b 9.5510
_cell_length_c 5.3349
_cell_angle_alpha 90.00
_cell_angle_beta 114.87
_cell_angle_gamma 90.00
loop_
_atom_site_label
_atom_site_fract_x
_atom_site_fract_y
_atom_site_fract_z
_atom_site_occupancy
Tl1 0.0000 0.0000 0.0000 1
Hg1 0.0000 0.2853 0.5000 1
Hg2 0.0000 0.5000 0.0000 1
Pd1 0.0000 0.0000 0.5000 1
Pd2 0.1735 0.2544 0.1775 1
Pd3 0.2137 0.5000 0.5357 1